(1)
First-principles (PBE-GGA) data for SiAs2Pd after structural relaxation, as listed in Alexandria via LeMat-Bulk.

Properties
N(E_F) (states/eV per cell): 1.73
Formation energy from raw total energies (eV per formula unit): -0.32
Total magnetization (Bohr magnetons per cell): 0.0

Cell lengths 6.663, 6.663, 6.663 Å; angles 128.51, 128.51, 75.80 degrees
Element x y z (fractional)
Si1 0.000 0.000 0.000
Si2 0.750 0.250 0.500
As1 0.118 0.625 0.993
As2 0.375 0.368 0.493
As3 0.632 0.125 0.007
As4 0.875 0.882 0.507
Pd1 0.250 0.750 0.500
Pd2 0.500 0.500 0.000

***

(2)
First-principles (PBE-GGA) data for SiAs2Pd6 after structural relaxation, as listed in Alexandria via LeMat-Bulk.

Properties
N(E_F) (states/eV per cell): 7.69
Formation energy from raw total energies (eV per formula unit): -3.17
Total magnetization (Bohr magnetons per cell): 0.0

Cell lengths 6.370, 5.966, 9.747 Å; angles 90.00, 126.69, 90.00 degrees
Element x y z (fractional)
Si1 0.000 0.000 0.000
Si2 0.000 0.500 0.500
As1 0.335 0.172 0.767
As2 0.335 0.328 0.267
As3 0.665 0.672 0.733
As4 0.665 0.828 0.233
Pd1 0.011 0.593 0.263
Pd2 0.011 0.907 0.763
Pd3 0.223 0.645 0.063
Pd4 0.223 0.855 0.563
Pd5 0.404 0.177 0.055
Pd6 0.404 0.323 0.555
Pd7 0.596 0.677 0.445
Pd8 0.596 0.823 0.945
Pd9 0.777 0.145 0.437
Pd10 0.777 0.355 0.937
Pd11 0.989 0.093 0.237
Pd12 0.989 0.407 0.737

***

(3)
First-principles (PBE-GGA) data for SiAsPd4 after structural relaxation, as listed in Alexandria via LeMat-Bulk.

Properties
N(E_F) (states/eV per cell): 7.72
Formation energy from raw total energies (eV per formula unit): -3.33
Total magnetization (Bohr magnetons per cell): 0.0

Cell lengths 6.583, 3.533, 15.740 Å; angles 90.00, 90.00, 90.00 degrees
Element x y z (fractional)
Si1 0.246 0.250 0.058
Si2 0.254 0.750 0.558
Si3 0.746 0.250 0.442
Si4 0.754 0.750 0.942
As1 0.241 0.750 0.307
As2 0.259 0.250 0.807
As3 0.741 0.750 0.193
As4 0.759 0.250 0.693
Pd1 0.008 0.750 0.431
Pd2 0.070 0.750 0.710
Pd3 0.108 0.750 0.154
Pd4 0.137 0.750 0.955
Pd5 0.363 0.250 0.455
Pd6 0.392 0.250 0.654
Pd7 0.430 0.250 0.210
Pd8 0.492 0.250 0.931
Pd9 0.508 0.750 0.069
Pd10 0.570 0.750 0.790
Pd11 0.608 0.750 0.346
Pd12 0.637 0.750 0.545
Pd13 0.863 0.250 0.045
Pd14 0.892 0.250 0.846
Pd15 0.930 0.250 0.290
Pd16 0.992 0.250 0.569

***

(4)
First-principles (PBE-GGA) data for SiAsPd4 after structural relaxation, as listed in Alexandria via LeMat-Bulk.

Properties
N(E_F) (states/eV per cell): 3.43
Formation energy from raw total energies (eV per formula unit): -2.78
Total magnetization (Bohr magnetons per cell): 0.0

Cell lengths 4.038, 4.038, 6.084 Å; angles 90.00, 90.00, 90.00 degrees
Element x y z (fractional)
Si1 0.000 0.000 0.000
As1 0.500 0.500 0.500
Pd1 0.000 0.500 0.238
Pd2 0.000 0.500 0.762
Pd3 0.500 0.000 0.238
Pd4 0.500 0.000 0.762